# CoGe2Ir2

A relaxed CoGe2Ir2 crystal (GGA-PBE, Alexandria via LeMat-Bulk).

Cell: 7.2039 7.2039 2.8450 Å, 90.00 90.00 90.00°
Sites, in units of the cell vectors:
Ge: 0.3453 0.8453 0.0000
Ge: 0.8453 0.6547 0.0000
Ge: 0.6547 0.1547 0.0000
Ge: 0.1547 0.3453 0.0000
Ir: 0.1450 0.6450 0.5000
Ir: 0.6450 0.8550 0.5000
Ir: 0.8550 0.3550 0.5000
Ir: 0.3550 0.1450 0.5000
Co: 0.0000 0.0000 0.0000
Co: 0.5000 0.5000 0.0000

Values from the calculation:
space group: P4/mbm, No. 127
ΔE to the lowest computed polymorph: 0 meV/atom
M_tot: 3.03 μB per cell

---

# TbPmGe2

A relaxed TbPmGe2 crystal (GGA-PBE, Alexandria via LeMat-Bulk).

Cell: 4.2717 4.2717 7.1346 Å, 72.58 72.58 60.00°
Sites, in units of the cell vectors:
Ge: 0.7525 0.7525 0.7426
Ge: 0.2475 0.2475 0.2574
Tb: 0.5000 0.5000 0.5000
Pm: 0.0000 0.0000 0.0000

Values from the calculation:
space group: R-3m, No. 166
DFT total energy: -21.27 eV per cell
M_tot: 0.00 μB per cell

---

# NbRh3Cl

A relaxed NbRh3Cl crystal (GGA-PBE, Alexandria via LeMat-Bulk).

Cell: 4.7908 4.7908 4.7908 Å, 90.00 90.00 90.00°
Sites, in units of the cell vectors:
Nb: 0.0000 0.0000 0.0000
Rh: 0.0000 0.5000 0.0000
Rh: 0.0000 0.0000 0.5000
Rh: 0.5000 0.0000 0.0000
Cl: 0.5000 0.5000 0.5000

Values from the calculation:
space group: Pm-3m, No. 221
ΔE to the lowest computed polymorph: 353 meV/atom
M_tot: 0.00 μB per cell